# 1
# NdMgH5 PBE-GGA optimized geometry
data_NdMgH5
_cell_length_a 4.0890
_cell_length_b 13.8093
_cell_length_c 4.8848
_cell_angle_alpha 90.00
_cell_angle_beta 92.93
_cell_angle_gamma 90.00
_space_group_name_H-M_alt 'C 1 2/c 1'
_space_group_IT_number 15
loop_
_space_group_symop_operation_xyz
'x,y,z'
'-x,-y,-z'
'-x,y,-z+1/2'
'x,-y,z+1/2'
'x+1/2,y+1/2,z'
'-x+1/2,-y+1/2,-z'
'-x+1/2,y+1/2,-z+1/2'
'x+1/2,-y+1/2,z+1/2'
loop_
_atom_site_label
_atom_site_type_symbol
_atom_site_fract_x
_atom_site_fract_y
_atom_site_fract_z
Nd1 Nd 0.0000 0.1682 0.2500
Mg1 Mg 0.0000 0.4312 0.2500
H1 H 0.0000 0.1369 0.7500
H2 H 0.0128 0.3104 0.9918
H3 H 0.2422 0.4634 0.5964
# Raw total energy in eV per atom: -3.654
# Size of the total moment in μB per cell: 0.000
# ρ in g/cm³: 4.19


# 2
# NdMgH PBE-GGA optimized geometry
data_NdMgH
_cell_length_a 8.7636
_cell_length_b 3.4260
_cell_length_c 16.5750
_cell_angle_alpha 90.00
_cell_angle_beta 90.00
_cell_angle_gamma 90.00
_space_group_name_H-M_alt 'P n m a'
_space_group_IT_number 62
loop_
_space_group_symop_operation_xyz
'x,y,z'
'-x,-y,-z'
'-x+1/2,-y,z+1/2'
'x+1/2,y,-z+1/2'
'x+1/2,-y+1/2,-z+1/2'
'-x+1/2,y+1/2,z+1/2'
'-x,y+1/2,-z'
'x,-y+1/2,z'
loop_
_atom_site_label
_atom_site_type_symbol
_atom_site_fract_x
_atom_site_fract_y
_atom_site_fract_z
Nd1 Nd 0.0295 0.2500 0.1307
Nd2 Nd 0.0476 0.7500 0.6341
Mg1 Mg 0.2420 0.7500 0.4625
Mg2 Mg 0.2435 0.7500 0.2759
H1 H 0.1323 0.7500 0.7624
H2 H 0.2465 0.7500 0.1503
# Raw total energy in eV per atom: -3.367
# Size of the total moment in μB per cell: 0.000
# ρ in g/cm³: 4.53


# 3
# NdMgH PBE-GGA optimized geometry
data_NdMgH
_cell_length_a 3.5328
_cell_length_b 3.5328
_cell_length_c 5.7185
_cell_angle_alpha 90.00
_cell_angle_beta 90.00
_cell_angle_gamma 120.00
_space_group_name_H-M_alt 'P 3 m 1'
_space_group_IT_number 156
loop_
_space_group_symop_operation_xyz
'x,y,z'
'-y,x-y,z'
'-x+y,-x,z'
'-y,-x,z'
'-x+y,y,z'
'x,x-y,z'
loop_
_atom_site_label
_atom_site_type_symbol
_atom_site_fract_x
_atom_site_fract_y
_atom_site_fract_z
Nd1 Nd 0.0000 0.0000 0.0000
Mg1 Mg 0.3333 0.6667 0.4860
H1 H 0.6667 0.3333 0.2095
# Raw total energy in eV per atom: -3.350
# Size of the total moment in μB per cell: 0.000
# ρ in g/cm³: 4.56


# 4
# NdMgNi4H4 PBE-GGA optimized geometry
data_NdMgNi4H4
_cell_length_a 5.0564
_cell_length_b 5.4947
_cell_length_c 7.3582
_cell_angle_alpha 90.00
_cell_angle_beta 90.00
_cell_angle_gamma 90.00
_space_group_name_H-M_alt 'P m n 21'
_space_group_IT_number 31
loop_
_space_group_symop_operation_xyz
'x,y,z'
'-x+1/2,-y,z+1/2'
'-x,y,z'
'x+1/2,-y,z+1/2'
loop_
_atom_site_label
_atom_site_type_symbol
_atom_site_fract_x
_atom_site_fract_y
_atom_site_fract_z
Nd1 Nd 0.0000 0.2004 0.0000
Mg1 Mg 0.0000 0.6821 0.2211
Ni1 Ni 0.0000 0.0519 0.6202
Ni2 Ni 0.0000 0.5077 0.6012
Ni3 Ni 0.2448 0.2716 0.3765
H1 H 0.0000 0.5578 0.8222
H2 H 0.0000 0.7794 0.5092
H3 H 0.2486 0.0105 0.2564
# Raw total energy in eV per atom: -4.586
# Size of the total moment in μB per cell: 0.001
# ρ in g/cm³: 6.62


# 5
# NdMgHPb PBE-GGA optimized geometry
data_NdMgHPb
_cell_length_a 4.4474
_cell_length_b 4.4474
_cell_length_c 8.5472
_cell_angle_alpha 90.00
_cell_angle_beta 90.00
_cell_angle_gamma 90.00
_space_group_name_H-M_alt 'P 4/n m m'
_space_group_IT_number 129
loop_
_space_group_symop_operation_xyz
'x,y,z'
'-x,-y,-z'
'-y+1/2,x,z'
'y+1/2,-x,-z'
'-x+1/2,-y+1/2,z'
'x+1/2,y+1/2,-z'
'y,-x+1/2,z'
'-y,x+1/2,-z'
'x+1/2,-y,-z'
'-x+1/2,y,z'
'-y,-x,-z'
'y,x,z'
'-x,y+1/2,-z'
'x,-y+1/2,z'
'y+1/2,x+1/2,-z'
'-y+1/2,-x+1/2,z'
loop_
_atom_site_label
_atom_site_type_symbol
_atom_site_fract_x
_atom_site_fract_y
_atom_site_fract_z
Nd1 Nd 0.2500 0.2500 0.1247
Mg1 Mg 0.2500 0.7500 0.5000
H1 H 0.2500 0.7500 0.0000
Pb1 Pb 0.2500 0.2500 0.7281
# Raw total energy in eV per atom: -3.810
# Size of the total moment in μB per cell: 0.000
# ρ in g/cm³: 7.40


# 6
# NdMgH6Pd2 PBE-GGA optimized geometry
data_NdMgH6Pd2
_cell_length_a 4.6066
_cell_length_b 4.6066
_cell_length_c 16.2981
_cell_angle_alpha 90.00
_cell_angle_beta 90.00
_cell_angle_gamma 120.00
_space_group_name_H-M_alt 'R -3 m'
_space_group_IT_number 166
_space_group_name_Hall '-R 3 2"'
loop_
_atom_site_label
_atom_site_type_symbol
_atom_site_fract_x
_atom_site_fract_y
_atom_site_fract_z
Nd1 Nd 0.0000 0.0000 0.0000
Mg1 Mg 0.0000 0.0000 0.5000
H1 H 0.0118 0.5059 0.0631
Pd1 Pd 0.0000 0.0000 0.2104
# Raw total energy in eV per atom: -4.031
# Size of the total moment in μB per cell: 0.000
# ρ in g/cm³: 6.44